(1)
The following is a DFT calculation (PBE) of crystalline Ti2NbRu at its relaxed geometry.

Calculated values
Formation enthalpy at 0 K = -0.2942 eV/atom
D(E_F) = 7.3 states/eV/cell
Total moment = 0.001 μB per atom
DFT total energy = -9.0780 eV/atom
Space group = P4/mmm (123)

Cell lengths 4.5029, 4.5029, 3.1406 Å; angles 90.00, 90.00, 90.00 degrees
Fractional coordinates of all 4 atoms:
Ti 0.0000 0.5000 0.0000
Ti 0.5000 0.0000 0.0000
Nb 0.0000 0.0000 0.5000
Ru 0.5000 0.5000 0.5000

(2)
The following is a DFT calculation (PBE) of crystalline TiNbRu at its relaxed geometry.

Calculated values
Formation enthalpy at 0 K = -0.3248 eV/atom
D(E_F) = 4.6 states/eV/cell
Distance to the lowest polymorph of the same formula = 156 meV per atom
Total moment = 0.000 μB per atom
DFT total energy = -9.4049 eV/atom
Space group = C2/m (12)

Cell lengths 5.2939, 5.2939, 5.5154 Å; angles 121.33, 121.33, 49.55 degrees
Fractional coordinates of all 6 atoms:
Ti 0.0167 0.0167 0.2670
Ti 0.9833 0.9833 0.7330
Nb 0.3339 0.3339 0.2477
Nb 0.6661 0.6661 0.7523
Ru 0.3259 0.3259 0.7482
Ru 0.6741 0.6741 0.2518

Q: Which of these has the lowest total moment?
A: TiNbRu

Q: The highest DFT total energy belongs to which entry?
A: Ti2NbRu

Q: What is the formula in the second record?
A: TiNbRu